1.
Here is crystalline ThCu4Ni2 at its relaxed geometry from Alexandria via LeMat-Bulk. Energies are from PBE.

abc: 5.5780 5.5780 5.5780
angles: 102.36 102.36 124.89
Atoms (fractional coordinates):
Th: 0.0000 0.0000 0.0000
Cu: 0.2688 0.5000 0.7688
Cu: 0.5000 0.2688 0.7688
Cu: 0.5000 0.7312 0.2312
Cu: 0.7312 0.5000 0.2312
Ni: 0.2500 0.7500 0.5000
Ni: 0.7500 0.2500 0.5000

Values from the calculation:
Polymorph energy (0 for the lowest one) = 570 meV/atom
DFT formation energy = 0.418 eV/atom
Calculated volume = 126.20 Å³/cell
Space-group type = I4/mmm, No. 139
Theoretical density = 7.9 g cm⁻³
E_tot = -4.635 eV/atom
Size of the total moment = 0.00 μB/f.u.
N(E_F) = 6.56 states/eV/cell

***

2.
Here is crystalline LiPrDySc at its relaxed geometry from Alexandria via LeMat-Bulk. Energies are from PBE.

abc: 5.4150 5.4150 5.4150
angles: 60.00 60.00 60.00
Atoms (fractional coordinates):
Li: 0.0000 0.0000 0.0000
Pr: 0.2500 0.2500 0.2500
Dy: 0.7500 0.7500 0.7500
Sc: 0.5000 0.5000 0.5000

Values from the calculation:
DFT formation energy = 0.146 eV/atom
Calculated volume = 112.27 Å³/cell
Space-group type = F-43m, No. 216
Theoretical density = 5.3 g cm⁻³
E_tot = -4.261 eV/atom
Size of the total moment = 0.00 μB/f.u.
N(E_F) = 4.28 states/eV/cell